[1]
## HoTmAgRh (PBE-GGA)

Data for a relaxed structure of HoTmAgRh.

Values from the calculation:
Energy above the lowest structure with this stoichiometry   0.0000 eV/atom
Energy   -5.44 eV/atom
Energy of formation from the pure elements   -0.63 eV per atom

abc: 3.468 3.468 7.160
angles: 90.00 90.00 90.00
Space group P4mm (No. 99)
Unique sites:
Ho (0.000, 0.000, 0.000)
Tm (0.000, 0.000, 0.543)
Ag (0.500, 0.500, 0.276)
Rh (0.500, 0.500, 0.768)



[2]
## HoTmAgRh (PBE-GGA)

Data for a relaxed structure of HoTmAgRh.

Values from the calculation:
Energy above the lowest structure with this stoichiometry   0.0196 eV/atom
Energy   -5.42 eV/atom
Energy of formation from the pure elements   -0.61 eV per atom

abc: 6.991 6.991 6.991
angles: 90.00 90.00 90.00
Space group F-43m (No. 216)
Unique sites:
Ho (0.000, 0.000, 0.000)
Tm (0.000, 0.000, 0.500)
Ag (0.250, 0.250, 0.250)
Rh (0.250, 0.250, 0.750)



[3]
## Ho6AgRu2 (PBE-GGA)

Data for a relaxed structure of Ho6AgRu2.

Values from the calculation:
Energy   -5.76 eV/atom
Energy of formation from the pure elements   -0.33 eV per atom

abc: 9.291 9.404 10.332
angles: 90.00 90.00 90.00
Space group Immm (No. 71)
Unique sites:
Ho (0.000, 0.199, 0.242)
Ho (0.186, 0.500, 0.170)
Ho (0.218, 0.319, 0.500)
Ag (0.000, 0.000, 0.000)
Ag (0.000, 0.000, 0.500)
Ru (0.000, 0.322, 0.000)
Ru (0.000, 0.500, 0.373)



[4]
## Ho4AgRu3 (PBE-GGA)

Data for a relaxed structure of Ho4AgRu3.

Values from the calculation:
Energy   -6.52 eV/atom
Energy of formation from the pure elements   -0.40 eV per atom

abc: 4.844 4.844 6.915
angles: 90.00 90.00 90.00
Space group P4/mmm (No. 123)
Unique sites:
Ho (0.000, 0.500, 0.239)
Ag (0.000, 0.000, 0.500)
Ru (0.000, 0.000, 0.000)
Ru (0.500, 0.500, 0.000)
Ru (0.500, 0.500, 0.500)



[5]
## Ho4AgRu2 (PBE-GGA)

Data for a relaxed structure of Ho4AgRu2.

Values from the calculation:
Energy above the lowest structure with this stoichiometry   0.0000 eV/atom
Energy   -6.01 eV/atom
Energy of formation from the pure elements   -0.34 eV per atom

abc: 4.839 4.839 6.892
angles: 90.00 90.00 90.00
Space group P4/mmm (No. 123)
Unique sites:
Ho (0.000, 0.500, 0.243)
Ag (0.000, 0.000, 0.500)
Ru (0.000, 0.000, 0.000)
Ru (0.500, 0.500, 0.500)



[6]
## Ho8Ag2Ru (PBE-GGA)

Data for a relaxed structure of Ho8Ag2Ru.

Values from the calculation:
Energy above the lowest structure with this stoichiometry   0.0658 eV/atom
Energy   -4.83 eV/atom
Energy of formation from the pure elements   -0.14 eV per atom

abc: 7.523 15.830 5.995
angles: 90.00 122.23 90.00
Space group Cm (No. 8)
Unique sites:
Ho (0.000, 0.000, 0.000)
Ho (0.039, 0.384, 0.886)
Ho (0.045, 0.500, 0.369)
Ho (0.272, 0.193, 0.221)
Ho (0.497, 0.386, 0.519)
Ag (0.276, 0.283, 0.720)
Ru (0.273, 0.000, 0.518)



[7]
## Ho4Ag2Ru (PBE-GGA)

Data for a relaxed structure of Ho4Ag2Ru.

Values from the calculation:
Energy   -5.00 eV/atom
Energy of formation from the pure elements   -0.24 eV per atom

abc: 7.137 9.910 4.903
angles: 90.00 90.00 90.00
Space group Cmmm (No. 65)
Unique sites:
Ho (0.239, 0.000, 0.000)
Ho (0.250, 0.250, 0.500)
Ag (0.000, 0.252, 0.000)
Ru (0.000, 0.000, 0.500)



[8]
## Ho8Ag2Ru (PBE-GGA)

Data for a relaxed structure of Ho8Ag2Ru.

Values from the calculation:
Energy above the lowest structure with this stoichiometry   0.0000 eV/atom
Energy   -4.89 eV/atom
Energy of formation from the pure elements   -0.20 eV per atom

abc: 17.255 5.202 6.815
angles: 90.00 108.07 90.00
Space group C2/m (No. 12)
Unique sites:
Ho (0.027, 0.000, 0.293)
Ho (0.091, 0.500, 0.931)
Ho (0.160, 0.500, 0.467)
Ho (0.198, 0.000, 0.803)
Ag (0.183, 0.000, 0.212)
Ru (0.000, 0.500, 0.500)



> Which value of energy of formation from the pure elements does entry 2 give?

-0.61 eV per atom



> The highest energy of formation from the pure elements belongs to which entry?

number 6